Entry 1:
A relaxed structure of ScUH, computed with PBE.

## Properties
As for the space group: Pbca (61). The value obtained for the total energy is -168.2 eV per cell. The crystal system is orthorhombic.

Cell: 5.497 6.483 10.701 Å, 90.00 90.00 90.00°
Site moments in Bohr magnetons follow the coordinates.
Element x y z (fractional)
Sc: 0.242 0.904 0.750  -0.06
Sc: 0.742 0.596 0.750  -0.06
Sc: 0.258 0.404 0.250  -0.06
Sc: 0.742 0.096 0.750  -0.06
Sc: 0.258 0.904 0.250  -0.06
Sc: 0.758 0.596 0.250  -0.06
Sc: 0.758 0.096 0.250  -0.06
Sc: 0.242 0.404 0.750  -0.06
H: 0.609 0.344 0.345  0.00
H: 0.391 0.656 0.655  0.00
H: 0.109 0.656 0.155  0.00
H: 0.391 0.156 0.845  0.00
H: 0.891 0.344 0.845  0.00
H: 0.609 0.844 0.155  0.00
H: 0.891 0.844 0.655  0.00
H: 0.109 0.156 0.345  0.00
U: 0.409 0.178 0.503  0.95
U: 0.409 0.678 0.997  0.95
U: 0.591 0.822 0.497  0.95
U: 0.909 0.822 0.997  0.95
U: 0.909 0.322 0.503  0.95
U: 0.591 0.322 0.003  0.95
U: 0.091 0.678 0.497  0.95
U: 0.091 0.178 0.003  0.95

***

Entry 2:
A relaxed structure of Sc2UH, computed with PBE.

## Properties
As for the space group: R-3m (166). The value obtained for the total energy is -27.0 eV per cell. The crystal system is trigonal.

Cell: 3.047 3.047 8.785 Å, 80.01 80.01 60.00°
Site moments in Bohr magnetons follow the coordinates.
Element x y z (fractional)
Sc: 0.883 0.883 0.351  -0.02
Sc: 0.117 0.117 0.649  -0.02
U: 0.000 0.000 0.000  1.80
H: 0.500 0.500 0.500  0.00

***

Entry 3:
A relaxed structure of ScV2H4, computed with PBE.

## Properties
As for the space group: Imma (74). The crystal system is orthorhombic. Its energy above the most stable polymorph in this dataset is 0 meV/atom.

Cell: 5.525 5.525 5.515 Å, 119.89 119.89 90.01°
Element x y z (fractional)
Sc: 0.001 0.999 0.000
Sc: 0.249 0.751 0.500
H: 0.856 0.145 0.290
H: 0.816 0.605 0.210
H: 0.394 0.605 0.210
H: 0.855 0.144 0.710
H: 0.855 0.566 0.710
H: 0.395 0.184 0.790
H: 0.395 0.606 0.790
H: 0.434 0.145 0.290
V: 0.125 0.375 0.750
V: 0.625 0.875 0.250
V: 0.625 0.375 0.250
V: 0.625 0.375 0.750

***

Entry 4:
A relaxed structure of Sc2VH, computed with PBE.

## Properties
As for the space group: R-3m (166). The crystal system is trigonal. Its energy above the most stable polymorph in this dataset is 159 meV/atom.

Cell: 8.095 8.095 8.095 Å, 21.50 21.50 21.50°
Site moments in Bohr magnetons follow the coordinates.
Element x y z (fractional)
Sc: 0.112 0.112 0.112  -0.15
Sc: 0.888 0.888 0.888  -0.15
V: 0.000 0.000 0.000  1.16
H: 0.500 0.500 0.500  0.00

***

Entry 5:
A relaxed structure of Sc5V2H12, computed with PBE.

## Properties
As for the space group: C2/m (12). The value obtained for the total energy is -98.0 eV per cell. The crystal system is monoclinic.

Cell: 5.381 5.935 6.489 Å, 106.67 90.00 116.96°
Element x y z (fractional)
Sc: 0.678 0.357 0.359
Sc: 0.322 0.643 0.641
Sc: 0.715 0.430 0.854
Sc: 0.285 0.570 0.146
Sc: 0.000 0.000 0.500
H: 0.476 0.352 0.094
H: 0.091 0.682 0.409
H: 0.125 0.648 0.906
H: 0.875 0.352 0.094
H: 0.590 0.682 0.409
H: 0.073 0.147 0.881
H: 0.515 0.030 0.813
H: 0.927 0.853 0.119
H: 0.410 0.318 0.591
H: 0.909 0.318 0.591
H: 0.485 0.970 0.187
H: 0.524 0.648 0.906
V: 0.251 0.000 0.000
V: 0.749 0.000 0.000

***

Entry 6:
A relaxed structure of ScVH3, computed with PBE.

## Properties
As for the space group: Pm-3m (221). The crystal system is cubic. Its energy above the most stable polymorph in this dataset is 10 meV/atom.

Cell: 3.463 3.463 3.463 Å, 90.00 90.00 90.00°
Element x y z (fractional)
H: 0.000 0.000 0.500
H: 0.500 0.000 0.000
H: 0.000 0.500 0.000
V: 0.000 0.000 0.000
Sc: 0.500 0.500 0.500

***

Entry 7:
A relaxed structure of ScVH3, computed with PBE.

## Properties
As for the space group: Pm-3m (221). The crystal system is cubic. Its energy above the most stable polymorph in this dataset is 513 meV/atom.

Cell: 3.683 3.683 3.683 Å, 90.00 90.00 90.00°
Site moments in Bohr magnetons follow the coordinates.
Element x y z (fractional)
Sc: 0.000 0.000 0.000  0.07
H: 0.500 0.000 0.000  -0.01
H: 0.000 0.000 0.500  -0.01
H: 0.000 0.500 0.000  -0.01
V: 0.500 0.500 0.500  2.50

***

Entry 8:
A relaxed structure of Sc2VH4, computed with PBE.

## Properties
As for the space group: I4/mmm (139). The value obtained for the total energy is -37.4 eV per cell. The crystal system is tetragonal.

Cell: 3.477 3.477 5.972 Å, 73.07 73.07 90.00°
Element x y z (fractional)
V: 0.000 0.000 0.000
Sc: 0.648 0.648 0.703
Sc: 0.352 0.352 0.297
H: 0.166 0.166 0.668
H: 0.000 0.500 0.000
H: 0.500 0.000 0.000
H: 0.834 0.834 0.332

***

Entry 9:
A relaxed structure of ScV2H4, computed with PBE.

## Properties
As for the space group: I4/mmm (139). The crystal system is tetragonal. Its energy above the most stable polymorph in this dataset is 609 meV/atom.

Cell: 3.675 3.675 5.498 Å, 70.47 70.47 90.00°
Site moments in Bohr magnetons follow the coordinates.
Element x y z (fractional)
H: 0.194 0.194 0.613  -0.01
H: 0.000 0.500 0.000  -0.01
H: 0.806 0.806 0.387  -0.01
H: 0.500 0.000 0.000  -0.01
Sc: 0.000 0.000 0.000  0.08
V: 0.368 0.368 0.264  0.91
V: 0.632 0.632 0.736  0.91

***

Entry 10:
A relaxed structure of Sc2VH, computed with PBE.

## Properties
As for the space group: P4/mmm (123). The crystal system is tetragonal. Its energy above the most stable polymorph in this dataset is 81 meV/atom.

Cell: 2.897 2.897 7.221 Å, 90.00 90.00 90.00°
Element x y z (fractional)
Sc: 0.000 0.000 0.716
Sc: 0.000 0.000 0.284
V: 0.500 0.500 0.000
H: 0.500 0.500 0.500

***

Entry 11:
A relaxed structure of Sc2VH, computed with PBE.

## Properties
As for the space group: I-42d (122). The crystal system is tetragonal. Its energy above the most stable polymorph in this dataset is 0 meV/atom.

Cell: 6.246 6.246 5.556 Å, 55.80 55.80 90.00°
Site moments in Bohr magnetons follow the coordinates.
Element x y z (fractional)
Sc: 0.375 0.484 0.750  -0.01
Sc: 0.516 0.125 0.250  -0.01
Sc: 0.234 0.625 0.250  -0.01
Sc: 0.875 0.766 0.750  -0.01
H: 0.250 0.750 0.500  0.01
H: 0.500 0.500 0.000  0.01
V: 0.750 0.250 0.500  2.08
V: 0.000 0.000 0.000  2.08

***

Entry 12:
A relaxed structure of Sc2VH2, computed with PBE.

## Properties
As for the space group: I4/mmm (139). The value obtained for the total energy is -29.3 eV per cell. The crystal system is tetragonal.

Cell: 3.069 3.069 7.162 Å, 77.63 77.63 90.00°
Site moments in Bohr magnetons follow the coordinates.
Element x y z (fractional)
H: 0.750 0.250 0.500  0.00
H: 0.250 0.750 0.500  0.00
Sc: 0.349 0.349 0.303  0.00
Sc: 0.651 0.651 0.697  0.00
V: 0.000 0.000 0.000  0.08